Entry 1:
Material: SrMgZn2Sn
Method: DFT, GGA-PBE
State: optimized geometry

As for the crystal system: tetragonal.

POSCAR file:
```
SrMgZn2Sn
1.0
-2.274 2.274 5.905
2.274 -2.274 5.905
2.274 2.274 -5.905
Sr Mg Zn Sn
1 1 2 1
direct
0.000 0.000 0.000
0.623 0.623 0.000
0.249 0.749 0.500
0.749 0.249 0.500
0.383 0.383 0.000
```

***

Entry 2:
Material: TbErPbC
Method: DFT, GGA-PBE
State: optimized geometry

As for the crystal system: hexagonal.

POSCAR file:
```
TbErPbC
1.0
3.630 0.000 0.000
-1.815 3.143 0.000
0.000 0.000 16.098
Tb Er Pb C
2 2 2 2
direct
0.333 0.667 0.000
0.667 0.333 0.500
0.333 0.667 0.335
0.667 0.333 0.835
0.333 0.667 0.669
0.667 0.333 0.169
0.000 0.000 0.416
0.000 0.000 0.916
```

***

Entry 3:
Material: Zr2TeIr
Method: DFT, GGA-PBE
State: optimized geometry

As for the crystal system: cubic.

POSCAR file:
```
Zr2TeIr
1.0
0.000 3.416 3.416
3.416 0.000 3.416
3.416 3.416 0.000
Zr Te Ir
2 1 1
direct
0.000 0.000 0.000
0.250 0.250 0.250
0.500 0.500 0.500
0.750 0.750 0.750
```

***

Entry 4:
Material: NaTaTeW
Method: DFT, GGA-PBE
State: optimized geometry

As for the crystal system: cubic.

POSCAR file:
```
NaTaTeW
1.0
0.000 3.319 3.319
3.319 0.000 3.319
3.319 3.319 0.000
Na Ta Te W
1 1 1 1
direct
0.000 0.000 0.000
0.750 0.750 0.750
0.250 0.250 0.250
0.500 0.500 0.500
```

***

Entry 5:
Material: NaLaPt4
Method: DFT, GGA-PBE
State: optimized geometry

As for the crystal system: cubic.

POSCAR file:
```
NaLaPt4
1.0
0.000 3.863 3.863
3.863 0.000 3.863
3.863 3.863 0.000
Na La Pt
1 1 4
direct
0.000 0.000 0.000
0.750 0.750 0.750
0.375 0.375 0.375
0.375 0.375 0.876
0.375 0.876 0.375
0.876 0.375 0.375
```

***

Entry 6:
Material: NdHoAg2Ge2
Method: DFT, GGA-PBE
State: optimized geometry

As for the crystal system: trigonal.

POSCAR file:
```
NdHoAg2Ge2
1.0
4.530 0.000 0.000
-2.265 3.923 0.000
0.000 0.000 7.445
Nd Ho Ag Ge
1 1 2 2
direct
0.000 0.000 0.000
0.000 0.000 0.502
0.333 0.667 0.238
0.667 0.333 0.704
0.333 0.667 0.786
0.667 0.333 0.301
```

***

Entry 7:
Material: HfBi
Method: DFT, GGA-PBE
State: optimized geometry

As for the crystal system: cubic.

POSCAR file:
```
HfBi
1.0
0.000 3.303 3.303
3.303 0.000 3.303
3.303 3.303 0.000
Hf Bi
1 1
direct
0.000 0.000 0.000
0.250 0.250 0.250
```

***

Entry 8:
Material: ScFeCuW
Method: DFT, GGA-PBE
State: optimized geometry

The value obtained for the formation energy from the elements is 0.89 eV per formula unit. As for the crystal system: cubic.

POSCAR file:
```
ScFeCuW
1.0
0.000 3.045 3.045
3.045 0.000 3.045
3.045 3.045 0.000
Sc Fe Cu W
1 1 1 1
direct
0.000 0.000 0.000
0.500 0.500 0.500
0.250 0.250 0.250
0.750 0.750 0.750
```

***

| no. | raw total energy (eV/atom) |
| --- | --- |
| 1 | -2.196 |
| 2 | -6.027 |
| 3 | -7.294 |
| 4 | -6.678 |
| 5 | -5.927 |
| 6 | -4.652 |
| 7 | -6.356 |
| 8 | -7.605 |